# 1
# Th7Pd2Au2

An optimized crystal structure of Th7Pd2Au2 (PBE, Alexandria).

The structure in extended XYZ format:
```
11
Lattice="4.055 -5.511 0.000 4.055 5.511 0.000 0.000 0.000 7.166" Properties=species:S:1:pos:R:3 pbc="T T T"
Th 0.000 0.000 0.000
Th 2.027 2.756 2.031
Th 2.027 2.756 5.136
Th 2.027 -2.756 2.031
Th 2.027 -2.756 5.136
Th 4.055 0.000 1.898
Th 4.055 0.000 5.268
Pd 4.055 2.483 0.000
Pd 4.055 -2.483 0.000
Au 1.388 0.000 3.583
Au 6.721 0.000 3.583
```

Output
E_tot, eV/f.u.: -70.69
Energy of formation, eV per atom: -0.164
DOS at the Fermi energy, states/eV/f.u.: 14.879

# 2
# Ac2FeGe4Pt3

An optimized crystal structure of Ac2FeGe4Pt3 (PBE, Alexandria).

The structure in extended XYZ format:
```
10
Lattice="4.425 0.000 0.000 0.000 4.425 0.000 0.000 0.000 10.371" Properties=species:S:1:pos:R:3 pbc="T T T"
Ac 0.000 2.213 2.587
Ac 2.213 0.000 7.784
Fe 2.213 2.213 0.000
Ge 0.000 0.000 5.186
Ge 0.000 2.213 9.101
Ge 2.213 0.000 1.270
Ge 2.213 2.213 5.186
Pt 0.000 0.000 0.000
Pt 0.000 2.213 6.507
Pt 2.213 0.000 3.864
```

Output
E_tot, eV/f.u.: -61.34
Energy of formation, eV per atom: -0.807
DOS at the Fermi energy, states/eV/f.u.: 8.235

# 3
# PbSe3

An optimized crystal structure of PbSe3 (PBE, Alexandria).

The structure in extended XYZ format:
```
4
Lattice="5.099 0.000 0.000 0.000 4.180 0.000 -1.454 0.000 4.901" Properties=species:S:1:pos:R:3 pbc="T T T"
Pb 0.000 0.000 0.000
Se 0.259 2.090 3.620
Se 1.822 0.000 2.451
Se 3.386 2.090 1.281
```

Output
E_tot, eV/f.u.: -14.32
DOS at the Fermi energy, states/eV/f.u.: 1.415

# 4
# Pm3Tm2Sc

An optimized crystal structure of Pm3Tm2Sc (PBE, Alexandria).

The structure in extended XYZ format:
```
12
Lattice="7.109 0.000 0.000 3.527 6.191 0.000 1.836 1.053 8.535" Properties=species:S:1:pos:R:3 pbc="T T T"
Pm 1.777 1.030 1.461
Pm 3.554 4.127 1.407
Pm 3.596 2.075 4.293
Pm 8.876 5.169 4.242
Pm 8.917 3.117 7.128
Pm 10.694 6.214 7.073
Tm 7.148 6.204 7.108
Tm 5.404 3.122 7.057
Tm 7.067 4.122 1.478
Tm 5.323 1.040 1.426
Sc 5.359 5.151 4.284
Sc 7.112 2.092 4.251
```

Output
E_tot, eV/f.u.: -29.35
Energy of formation, eV per atom: 0.029
DOS at the Fermi energy, states/eV/f.u.: 8.330

# 5
# Pm2AsP

An optimized crystal structure of Pm2AsP (PBE, Alexandria).

The structure in extended XYZ format:
```
4
Lattice="2.092 1.208 6.835 -2.092 1.208 6.835 0.000 -2.416 6.835" Properties=species:S:1:pos:R:3 pbc="T T T"
Pm 0.000 0.000 5.081
Pm 0.000 0.000 15.424
As 0.000 0.000 0.000
P 0.000 0.000 10.253
```

Output
E_tot, eV/f.u.: -25.73
Energy of formation, eV per atom: -1.543
DOS at the Fermi energy, states/eV/f.u.: 0.437

# 6
# GdAl2Tl

An optimized crystal structure of GdAl2Tl (PBE, Alexandria).

The structure in extended XYZ format:
```
4
Lattice="4.496 0.000 0.000 0.000 4.496 0.000 0.000 0.000 4.394" Properties=species:S:1:pos:R:3 pbc="T T T"
Gd 0.000 0.000 0.000
Al 0.000 2.248 2.197
Al 2.248 0.000 2.197
Tl 2.248 2.248 0.000
```

Output
E_tot, eV/f.u.: -24.98
Energy of formation, eV per atom: -0.261
DOS at the Fermi energy, states/eV/f.u.: 1.526

# 7
# LaHgIr2

An optimized crystal structure of LaHgIr2 (PBE, Alexandria).

The structure in extended XYZ format:
```
4
Lattice="-2.082 2.082 4.621 2.082 -2.082 4.621 2.082 2.082 -4.621" Properties=species:S:1:pos:R:3 pbc="T T T"
La 0.000 0.000 0.000
Hg 2.082 0.000 2.310
Ir 0.000 0.000 4.621
Ir 0.000 2.082 2.310
```

Output
E_tot, eV/f.u.: -22.93
Energy of formation, eV per atom: 0.005
DOS at the Fermi energy, states/eV/f.u.: 6.336

# 8
# ErZn6

An optimized crystal structure of ErZn6 (PBE, Alexandria).

The structure in extended XYZ format:
```
28
Lattice="8.287 0.000 0.000 0.000 5.350 0.000 0.000 0.000 10.480" Properties=species:S:1:pos:R:3 pbc="T T T"
Er 1.977 1.338 0.612
Er 2.166 4.013 5.852
Er 6.120 1.338 4.628
Er 6.310 4.013 9.868
Zn 0.535 4.013 0.953
Zn 0.552 0.081 3.234
Zn 0.552 2.594 3.234
Zn 0.804 1.338 5.472
Zn 1.117 4.013 8.945
Zn 1.573 1.338 7.934
Zn 2.570 4.013 2.694
Zn 3.026 1.338 3.705
Zn 3.339 4.013 0.232
Zn 3.591 2.756 8.474
Zn 3.591 5.269 8.474
Zn 3.609 1.338 6.193
Zn 4.678 4.013 4.286
Zn 4.695 0.081 2.006
Zn 4.695 2.594 2.006
Zn 4.947 1.338 10.247
Zn 5.260 4.013 6.775
Zn 5.716 1.338 7.785
Zn 6.714 4.013 2.545
Zn 7.169 1.338 1.535
Zn 7.482 4.013 5.007
Zn 7.735 2.756 7.246
Zn 7.735 5.269 7.246
Zn 7.752 1.338 9.526
```

Output
E_tot, eV/f.u.: -13.67
Energy of formation, eV per atom: -0.209
DOS at the Fermi energy, states/eV/f.u.: 2.763

# 9
# NbH2Se

An optimized crystal structure of NbH2Se (PBE, Alexandria).

The structure in extended XYZ format:
```
4
Lattice="0.000 2.783 2.783 2.783 0.000 2.783 2.783 2.783 0.000" Properties=species:S:1:pos:R:3 pbc="T T T"
Nb 0.000 0.000 0.000
H 1.392 1.392 1.392
H 4.175 4.175 4.175
Se 2.783 2.783 2.783
```

Output
E_tot, eV/f.u.: -17.75
DOS at the Fermi energy, states/eV/f.u.: 3.220

# 10
# Cs2VAgBr6

An optimized crystal structure of Cs2VAgBr6 (PBE, Alexandria).

The structure in extended XYZ format:
```
10
Lattice="-3.871 3.871 5.468 3.871 -3.871 5.468 3.871 3.871 -5.468" Properties=species:S:1:pos:R:3 pbc="T T T"
Cs 3.871 0.000 2.734
Cs 0.000 3.871 2.734
V 0.000 0.000 0.000
Ag 0.000 0.000 5.468
Br 0.000 0.000 2.581
Br 1.823 1.823 0.000
Br 2.048 -2.048 5.468
Br -2.048 2.048 5.468
Br 0.000 0.000 8.355
Br 2.048 2.048 5.468
```

Output
E_tot, eV/f.u.: -34.99
DOS at the Fermi energy, states/eV/f.u.: 13.926

# 11
# Ac6MgIn5

An optimized crystal structure of Ac6MgIn5 (PBE, Alexandria).

The structure in extended XYZ format:
```
12
Lattice="2.906 -8.738 0.000 2.906 8.738 0.000 0.000 0.000 8.193" Properties=species:S:1:pos:R:3 pbc="T T T"
Ac 0.000 0.000 2.016
Ac 0.000 0.000 6.177
Ac 2.906 2.940 2.054
Ac 2.906 2.940 6.139
Ac 2.906 -2.940 2.054
Ac 2.906 -2.940 6.139
Mg 2.906 0.000 4.096
In 2.906 5.935 4.096
In 2.906 5.819 0.000
In 2.906 0.000 0.000
In 2.906 -5.819 0.000
In 2.906 -5.935 4.096
```

Output
E_tot, eV/f.u.: -44.38
Energy of formation, eV per atom: -0.370
DOS at the Fermi energy, states/eV/f.u.: 10.897

# 12
# Rb2LiAsCl6

An optimized crystal structure of Rb2LiAsCl6 (PBE, Alexandria).

The structure in extended XYZ format:
```
10
Lattice="-3.809 3.809 4.547 3.809 -3.809 4.547 3.809 3.809 -4.547" Properties=species:S:1:pos:R:3 pbc="T T T"
Rb 3.809 0.000 2.273
Rb 0.000 3.809 2.273
Li 0.000 0.000 0.000
As 0.000 0.000 4.547
Cl 0.000 0.000 2.155
Cl 2.017 2.017 0.000
Cl 1.792 -1.792 4.547
Cl -1.792 1.792 4.547
Cl 1.792 1.792 4.547
Cl 0.000 0.000 6.938
```

Output
E_tot, eV/f.u.: -33.41
DOS at the Fermi energy, states/eV/f.u.: 0.000

# 13
# CaAsIr4

An optimized crystal structure of CaAsIr4 (PBE, Alexandria).

The structure in extended XYZ format:
```
6
Lattice="0.000 3.747 3.747 3.747 0.000 3.747 3.747 3.747 0.000" Properties=species:S:1:pos:R:3 pbc="T T T"
Ca 0.000 0.000 0.000
As 1.873 1.873 1.873
Ir 4.681 2.812 2.812
Ir 2.812 4.681 2.812
Ir 2.812 2.812 4.681
Ir 4.681 4.681 4.681
```

Output
E_tot, eV/f.u.: -41.79
Energy of formation, eV per atom: 0.051
DOS at the Fermi energy, states/eV/f.u.: 6.092

# 14
# RbBa2NaP

An optimized crystal structure of RbBa2NaP (PBE, Alexandria).

The structure in extended XYZ format:
```
5
Lattice="6.325 0.000 0.000 0.000 6.325 0.000 0.000 0.000 6.820" Properties=species:S:1:pos:R:3 pbc="T T T"
Rb 0.000 0.000 0.000
Ba 0.000 3.163 3.410
Ba 3.163 0.000 3.410
Na 3.163 3.163 0.000
P 0.000 0.000 3.410
```

Output
E_tot, eV/f.u.: -13.23
Energy of formation, eV per atom: -0.339
DOS at the Fermi energy, states/eV/f.u.: 3.098

# 15
# CdPd4Pt2

An optimized crystal structure of CdPd4Pt2 (PBE, Alexandria).

The structure in extended XYZ format:
```
7
Lattice="4.263 -3.339 0.000 4.263 3.339 0.000 -3.307 0.000 4.175" Properties=species:S:1:pos:R:3 pbc="T T T"
Cd 0.000 0.000 0.000
Pd 3.692 -1.952 2.955
Pd 1.526 1.952 1.220
Pd 3.692 1.952 2.955
Pd 1.526 -1.952 1.220
Pt 3.436 0.000 1.043
Pt 1.782 0.000 3.132
```

Output
E_tot, eV/f.u.: -34.29
Energy of formation, eV per atom: -0.074
DOS at the Fermi energy, states/eV/f.u.: 9.011

# 16
# Ce2Sb2I

An optimized crystal structure of Ce2Sb2I (PBE, Alexandria).

The structure in extended XYZ format:
```
10
Lattice="2.187 -8.950 0.000 2.187 8.950 0.000 0.000 0.000 8.267" Properties=species:S:1:pos:R:3 pbc="T T T"
Ce 2.187 8.188 4.133
Ce 2.187 3.806 3.093
Ce 2.187 -3.806 7.227
Ce 2.187 -8.188 0.000
Sb 2.187 3.091 8.201
Sb 2.187 0.621 2.317
Sb 2.187 -0.621 6.450
Sb 2.187 -3.091 4.068
I 2.187 6.529 1.009
I 2.187 -6.529 5.143
```

Output
E_tot, eV/f.u.: -26.11
DOS at the Fermi energy, states/eV/f.u.: 8.887

# 17
# Fe2PtCl

An optimized crystal structure of Fe2PtCl (PBE, Alexandria).

The structure in extended XYZ format:
```
4
Lattice="1.480 -2.395 0.000 1.480 2.395 0.000 0.000 0.000 9.035" Properties=species:S:1:pos:R:3 pbc="T T T"
Fe 0.000 0.000 0.000
Fe 1.480 0.000 1.949
Pt 0.000 0.000 4.023
Cl 1.480 0.000 7.238
```

Output
E_tot, eV/f.u.: -24.18
DOS at the Fermi energy, states/eV/f.u.: 3.608

# 18
# Cr5Rh3

An optimized crystal structure of Cr5Rh3 (PBE, Alexandria).

The structure in extended XYZ format:
```
8
Lattice="3.395 -3.982 0.000 3.395 3.982 0.000 0.000 0.000 3.977" Properties=species:S:1:pos:R:3 pbc="T T T"
Cr 0.000 0.000 0.000
Cr 1.697 1.991 0.000
Cr 1.608 0.000 1.988
Cr 1.697 -1.991 0.000
Cr 5.181 0.000 1.988
Rh 3.395 1.941 1.988
Rh 3.395 0.000 0.000
Rh 3.395 -1.941 1.988
```

Output
E_tot, eV/f.u.: -69.60
Energy of formation, eV per atom: 0.072
DOS at the Fermi energy, states/eV/f.u.: 9.303

# 19
# YAl3Ga

An optimized crystal structure of YAl3Ga (PBE, Alexandria).

The structure in extended XYZ format:
```
10
Lattice="-2.678 2.678 8.742 2.678 -2.678 8.742 2.678 2.678 -8.742" Properties=species:S:1:pos:R:3 pbc="T T T"
Y 0.000 0.000 3.501
Y 0.000 0.000 13.984
Al 1.354 2.678 -2.211
Al 1.324 0.000 6.532
Al 2.678 1.354 2.211
Al 0.000 2.678 1.854
Al 0.000 1.324 10.953
Al 0.000 2.678 6.888
Ga 2.678 0.000 4.371
Ga 0.000 0.000 8.742
```

Output
E_tot, eV/f.u.: -20.18
Energy of formation, eV per atom: 0.108
DOS at the Fermi energy, states/eV/f.u.: 3.969

# 20
# Ac4PrS5

An optimized crystal structure of Ac4PrS5 (PBE, Alexandria).

The structure in extended XYZ format:
```
10
Lattice="-4.770 4.770 3.021 4.770 -4.770 3.021 4.770 4.770 -3.021" Properties=species:S:1:pos:R:3 pbc="T T T"
Ac 2.856 0.946 0.000
Ac 3.824 -1.914 3.021
Ac 0.946 6.684 0.000
Ac 1.914 3.824 3.021
Pr 0.000 0.000 3.021
S 0.000 0.000 0.000
S 5.712 1.955 0.000
S 1.955 3.828 0.000
S 2.815 0.942 3.021
S -0.942 2.815 3.021
```

Output
E_tot, eV/f.u.: -61.91
DOS at the Fermi energy, states/eV/f.u.: 4.912

# 21
# AlBO2F

An optimized crystal structure of AlBO2F (PBE, Alexandria).

The structure in extended XYZ format:
```
5
Lattice="3.407 0.000 0.000 0.000 3.407 0.000 0.000 0.000 3.443" Properties=species:S:1:pos:R:3 pbc="T T T"
Al 0.000 0.000 0.000
B 1.703 1.703 1.721
O 0.000 1.703 1.721
O 1.703 0.000 1.721
F 1.703 1.703 0.000
```

Output
E_tot, eV/f.u.: -27.21
DOS at the Fermi energy, states/eV/f.u.: 0.766

# 22
# Be2NiRu

An optimized crystal structure of Be2NiRu (PBE, Alexandria).

The structure in extended XYZ format:
```
8
Lattice="3.850 0.000 0.000 0.000 2.719 0.000 0.000 0.000 7.630" Properties=species:S:1:pos:R:3 pbc="T T T"
Be 0.963 0.000 0.921
Be 0.963 0.000 4.880
Be 2.888 0.000 2.750
Be 2.888 0.000 6.709
Ni 0.963 1.360 6.754
Ni 2.888 1.360 0.876
Ru 0.963 1.360 2.853
Ru 2.888 1.360 4.777
```

Output
E_tot, eV/f.u.: -23.82
Energy of formation, eV per atom: -0.327
DOS at the Fermi energy, states/eV/f.u.: 3.311

# 23
# TbHo15Er4

An optimized crystal structure of TbHo15Er4 (PBE, Alexandria).

The structure in extended XYZ format:
```
20
Lattice="4.969 0.000 0.000 0.000 4.969 0.000 0.000 0.000 24.849" Properties=species:S:1:pos:R:3 pbc="T T T"
Tb 0.000 0.000 0.000
Ho 0.000 2.485 2.500
Ho 0.000 2.485 7.463
Ho 0.000 2.485 12.424
Ho 0.000 2.485 17.386
Ho 0.000 2.485 22.348
Ho 2.485 0.000 2.500
Ho 2.485 0.000 7.463
Ho 2.485 0.000 12.424
Ho 2.485 0.000 17.386
Ho 2.485 0.000 22.348
Ho 2.485 2.485 0.000
Ho 2.485 2.485 4.985
Ho 2.485 2.485 9.943
Ho 2.485 2.485 14.906
Ho 2.485 2.485 19.864
Er 0.000 0.000 4.981
Er 0.000 0.000 9.944
Er 0.000 0.000 14.905
Er 0.000 0.000 19.868
```

Output
E_tot, eV/f.u.: -91.14
Energy of formation, eV per atom: 0.020
DOS at the Fermi energy, states/eV/f.u.: 25.560

# 24
# MgMnIr

An optimized crystal structure of MgMnIr (PBE, Alexandria).

The structure in extended XYZ format:
```
6
Lattice="4.586 0.000 0.000 -2.293 3.972 0.000 0.000 0.000 8.777" Properties=species:S:1:pos:R:3 pbc="T T T"
Mg 0.000 2.648 2.194
Mg 2.293 1.324 6.583
Mn 0.000 0.000 2.194
Mn 0.000 0.000 6.583
Ir 0.000 0.000 0.000
Ir 0.000 0.000 4.388
```

Output
E_tot, eV/f.u.: -14.94
Energy of formation, eV per atom: 1.561
DOS at the Fermi energy, states/eV/f.u.: 2.448